Record 1
! CrRuN PBE optimized geometry; values from VASP
! - Calculated density: 8516 kg/m3
! - Electronic total energy: -54.8 eV for the cell shown
! - Density of states at the Fermi level: 3.12 states/eV/cell
! - Polymorph energy (0 for the lowest one): 74 meV per atom
! - Formation energy without anion corrections: -0.061 eV/atom
&SYSTEM
  ibrav = 0, nat = 6, ntyp = 3
/
ATOMIC_SPECIES
Cr 52.00 Cr.upf
Ru 101.07 Ru.upf
N 14.01 N.upf
CELL_PARAMETERS angstrom
4.6533 -1.3770 0.0000
4.6533 1.3770 0.0000
-3.7323 0.0000 5.0844
ATOMIC_POSITIONS crystal
Cr 0.0000 0.0000 0.0000
Cr 0.6508 0.6508 0.8110
Ru 0.3673 0.3673 0.2663
Ru 0.7006 0.7006 0.4124
N 0.3339 0.3339 0.9264
N 0.9682 0.9682 0.6690

=====

Record 2
! CaCuNO2 PBE optimized geometry; values from VASP
! - Calculated density: 4338 kg/m3
! - Electronic total energy: -27.0 eV for the cell shown
! - Density of states at the Fermi level: 2.89 states/eV/cell
! - Formation energy without anion corrections: -0.535 eV/atom
&SYSTEM
  ibrav = 0, nat = 5, ntyp = 4
/
ATOMIC_SPECIES
Ca 40.08 Ca.upf
Cu 63.55 Cu.upf
N 14.01 N.upf
O 16.00 O.upf
CELL_PARAMETERS angstrom
3.9670 0.0000 0.0000
0.0000 3.9670 0.0000
0.0000 0.0000 3.6394
ATOMIC_POSITIONS crystal
Ca 0.0000 0.0000 0.0000
Cu 0.5000 0.5000 0.5000
N 0.5000 0.5000 0.0000
O 0.0000 0.5000 0.5000
O 0.5000 0.0000 0.5000

=====

Record 3
! Sr3ZnGe2Au6 PBE optimized geometry; values from VASP
! - Calculated density: 9020 kg/m3
! - Electronic total energy: -40.7 eV for the cell shown
! - Density of states at the Fermi level: 4.40 states/eV/cell
! - Energy relative to the elements: -0.46 eV per atom
&SYSTEM
  ibrav = 0, nat = 12, ntyp = 4
/
ATOMIC_SPECIES
Sr 87.62 Sr.upf
Zn 65.41 Zn.upf
Ge 72.64 Ge.upf
Au 196.97 Au.upf
CELL_PARAMETERS angstrom
6.6143 0.0000 0.0000
-3.3072 5.7282 0.0000
0.0000 0.0000 8.0435
ATOMIC_POSITIONS crystal
Sr 0.0000 0.0000 0.0000
Sr 0.3333 0.6667 0.6733
Sr 0.6667 0.3333 0.3267
Zn 0.0000 0.0000 0.5000
Ge 0.3333 0.6667 0.0765
Ge 0.6667 0.3333 0.9235
Au 0.1804 0.3609 0.3126
Au 0.1804 0.8196 0.3126
Au 0.3609 0.1804 0.6874
Au 0.6391 0.8196 0.3126
Au 0.8196 0.1804 0.6874
Au 0.8196 0.6391 0.6874

=====

Record 4
! K3CaPu2O9 PBE optimized geometry; values from VASP
! - Calculated density: 5498 kg/m3
! - Electronic total energy: -114.7 eV for the cell shown
! - Density of states at the Fermi level: 6.54 states/eV/cell
! - Formation energy without anion corrections: -2.411 eV/atom
&SYSTEM
  ibrav = 0, nat = 15, ntyp = 4
/
ATOMIC_SPECIES
K 39.10 K.upf
Ca 40.08 Ca.upf
Pu 244.00 Pu.upf
O 16.00 O.upf
CELL_PARAMETERS angstrom
6.0737 0.0000 0.0000
-3.0368 5.2599 0.0000
0.0000 0.0000 7.4632
ATOMIC_POSITIONS crystal
K 0.0000 0.0000 0.0000
K 0.3333 0.6667 0.6573
K 0.6667 0.3333 0.3427
Ca 0.0000 0.0000 0.5000
Pu 0.3333 0.6667 0.1628
Pu 0.6667 0.3333 0.8372
O 0.0000 0.5000 0.0000
O 0.1794 0.3589 0.3148
O 0.1794 0.8206 0.3148
O 0.3589 0.1794 0.6852
O 0.5000 0.0000 0.0000
O 0.5000 0.5000 0.0000
O 0.6411 0.8206 0.3148
O 0.8206 0.1794 0.6852
O 0.8206 0.6411 0.6852

=====

Record 5
! PtRhCl2 PBE optimized geometry; values from VASP
! - Calculated density: 8971 kg/m3
! - Electronic total energy: -15.4 eV for the cell shown
! - Density of states at the Fermi level: 4.85 states/eV/cell
! - Polymorph energy (0 for the lowest one): 536 meV per atom
! - Formation energy without anion corrections: 0.424 eV/atom
&SYSTEM
  ibrav = 0, nat = 4, ntyp = 3
/
ATOMIC_SPECIES
Pt 195.08 Pt.upf
Rh 102.91 Rh.upf
Cl 35.45 Cl.upf
CELL_PARAMETERS angstrom
3.2825 0.0000 0.0000
0.0000 4.0703 0.0000
-0.3046 0.0000 5.1108
ATOMIC_POSITIONS crystal
Pt 0.0000 0.0000 0.0000
Rh 0.5000 0.0000 0.5000
Cl 0.2577 0.5000 0.2543
Cl 0.7423 0.5000 0.7457

=====

Record 6
! Sm2DyY2Er2 PBE optimized geometry; values from VASP
! - Calculated density: 7044 kg/m3
! - Electronic total energy: -35.2 eV for the cell shown
! - Density of states at the Fermi level: 9.14 states/eV/cell
! - Energy relative to the elements: 0.13 eV per atom
&SYSTEM
  ibrav = 0, nat = 7, ntyp = 4
/
ATOMIC_SPECIES
Sm 150.36 Sm.upf
Dy 162.50 Dy.upf
Y 88.91 Y.upf
Er 167.26 Er.upf
CELL_PARAMETERS angstrom
6.3961 -1.8143 0.0000
6.3961 1.8143 0.0000
-0.9061 0.0000 9.9084
ATOMIC_POSITIONS crystal
Sm 0.2294 0.2294 0.3628
Sm 0.7706 0.7706 0.6372
Dy 0.5000 0.5000 0.5000
Y 0.4344 0.4344 0.8473
Y 0.5656 0.5656 0.1527
Er 0.1624 0.1624 0.8842
Er 0.8376 0.8376 0.1158